Compound: Th3In2Sn
Source: Alexandria via LeMat-Bulk
Functional: PBE-GGA
Structure: relaxed

a b c (Å): 4.602 4.972 7.908
angles (deg): 108.32 90.00 90.00
Atoms (fractional coordinates):
Th 0.500 0.500 0.000
Th 0.500 0.165 0.331
Th 0.500 0.835 0.669
In 0.000 0.670 0.340
In 0.000 0.330 0.660
Sn 0.000 0.000 0.000

Values from the calculation:
DFT total energy in eV per atom: -5.66
DFT formation energy in eV/atom: -0.368
Energy relative to the lowest polymorph listed for this composition in eV/atom: 0.000
Mass density in Mg/m³: 10.1

---

Compound: NaEr2Hf3N6
Source: Alexandria via LeMat-Bulk
Functional: PBE-GGA
Structure: relaxed

a b c (Å): 3.275 6.678 7.380
angles (deg): 104.47 102.82 90.00
Atoms (fractional coordinates):
N 0.007 0.724 0.013
N 0.326 0.928 0.651
N 0.993 0.276 0.987
N 0.337 0.407 0.674
N 0.663 0.593 0.326
N 0.674 0.072 0.349
Hf 0.500 0.500 0.000
Hf 0.162 0.835 0.325
Hf 0.838 0.165 0.675
Er 0.163 0.325 0.326
Er 0.837 0.675 0.674
Na 0.500 0.000 0.000

Values from the calculation:
Formation energy (no corrections) in eV/f.u.: -19.723
DFT total energy in eV per atom: -9.17
Mass density in Mg/m³: 10.7

---

Compound: SbHW2
Source: Alexandria via LeMat-Bulk
Functional: PBE-GGA
Structure: relaxed

a b c (Å): 4.433 4.433 4.433
angles (deg): 60.00 60.00 60.00
Atoms (fractional coordinates):
W 0.750 0.750 0.750
W 0.250 0.250 0.250
Sb 0.500 0.500 0.500
H 0.000 0.000 0.000

Values from the calculation:
DFT total energy in eV per atom: -7.04
Energy relative to the lowest polymorph listed for this composition in eV/atom: 0.542
Mass density in Mg/m³: 13.2